Record 1
The following is a DFT calculation (GGA-PBE) of a relaxed K4La3TbS8 crystal.

Values from the calculation:
ΔE_f (raw)   -30.523 eV per formula unit
Symmetry   No. 166

a b c (Å): 8.479 8.851 8.479
angles (deg): 118.64 120.00 90.00
Fractional positions:
1 La 0.000 0.500 0.500
2 La 0.500 0.500 0.000
3 La 0.500 0.500 0.500
4 S 0.264 0.291 0.527
5 S 0.736 0.709 0.473
6 S 0.255 0.295 0.025
7 S 0.230 0.705 0.460
8 S 0.770 0.295 0.540
9 S 0.745 0.705 0.975
10 S 0.230 0.705 0.975
11 S 0.770 0.295 0.025
12 K 0.500 0.000 0.500
13 K 0.000 0.000 0.000
14 K 0.000 0.000 0.500
15 K 0.500 0.000 0.000
16 Tb 0.000 0.500 0.000


Record 2
The following is a DFT calculation (GGA-PBE) of a relaxed BaTlPb3 crystal.

Values from the calculation:
Energy above the most stable polymorph in this dataset   32.22 kJ per mole of atoms
Formation energy from the elements   2.30 kcal/mol of atoms
Symmetry   No. 221

a b c (Å): 5.922 5.922 5.922
angles (deg): 90.00 90.00 90.00
Fractional positions:
1 Pb 0.000 0.000 0.500
2 Pb 0.000 0.500 0.000
3 Pb 0.500 0.000 0.000
4 Ba 0.500 0.500 0.500
5 Tl 0.000 0.000 0.000


Record 3
The following is a DFT calculation (GGA-PBE) of a relaxed Pm4TmHg2 crystal.

Values from the calculation:
Formation energy from the elements   -3.81 kcal/mol of atoms
Symmetry   No. 1

a b c (Å): 8.874 8.327 8.852
angles (deg): 137.14 107.65 81.68
Fractional positions:
1 Pm 0.294 0.005 0.613
2 Pm 0.183 0.647 0.006
3 Pm 0.462 0.119 0.382
4 Pm 0.069 0.273 0.386
5 Pm 0.935 0.535 0.182
6 Pm 0.435 0.736 0.793
7 Pm 0.675 0.873 0.555
8 Pm 0.782 0.518 0.662
9 Hg 0.784 0.898 0.183
10 Hg 0.959 0.164 0.670
11 Hg 0.535 0.471 0.945
12 Hg 0.699 0.197 0.088
13 Tm 0.066 0.924 0.828
14 Tm 0.371 0.390 0.205


Record 4
The following is a DFT calculation (GGA-PBE) of a relaxed Cs4NbS4 crystal.

Values from the calculation:
ΔE_f (raw)   -9.714 eV per formula unit
Symmetry   No. 121

a b c (Å): 9.099 9.099 9.099
angles (deg): 81.38 125.09 125.09
Site moments in Bohr magnetons follow the coordinates.
Fractional positions:
1 Cs 0.000 0.699 0.699  0.00
2 Cs 0.000 0.301 0.301  0.00
3 Cs 0.500 0.500 0.000  0.00
4 Cs 0.500 0.000 0.500  0.00
5 S 0.000 0.062 0.742  0.00
6 S 0.680 0.938 0.938  0.00
7 S 0.000 0.742 0.062  0.00
8 S 0.320 0.258 0.258  0.00
9 Nb 0.000 0.000 0.000  0.25


Record 5
The following is a DFT calculation (GGA-PBE) of a relaxed GdTm2Pd crystal.

Values from the calculation:
Formation energy from the elements   -10.18 kcal/mol of atoms
Symmetry   No. 123

a b c (Å): 3.525 3.525 8.462
angles (deg): 90.00 90.00 90.00
Site moments in Bohr magnetons follow the coordinates.
Fractional positions:
1 Tm 0.000 0.000 0.195  0.08
2 Tm 0.000 0.000 0.805  0.08
3 Pd 0.500 0.500 0.000  0.00
4 Gd 0.500 0.500 0.500  7.27


Record 6
The following is a DFT calculation (GGA-PBE) of a relaxed Be2FeAs crystal.

Values from the calculation:
Energy above the most stable polymorph in this dataset   14.59 kJ per mole of atoms
Formation energy from the elements   3.61 kcal/mol of atoms
Symmetry   No. 47

a b c (Å): 3.531 2.727 4.693
angles (deg): 89.99 90.00 90.00
Site moments in Bohr magnetons follow the coordinates.
Fractional positions:
1 Be 0.000 0.749 0.036  -0.04
2 Be 0.000 0.751 0.464  -0.04
3 As 0.500 0.750 0.750  0.01
4 Fe 0.500 0.250 0.250  1.49


Record 7
The following is a DFT calculation (GGA-PBE) of a relaxed ZrMo2W crystal.

Values from the calculation:
Energy above the most stable polymorph in this dataset   33.85 kJ per mole of atoms
Formation energy from the elements   7.42 kcal/mol of atoms
Symmetry   No. 25

a b c (Å): 2.703 4.797 5.408
angles (deg): 90.00 90.00 90.00
Fractional positions:
1 Mo 0.500 0.500 0.255
2 Mo 0.000 0.000 0.000
3 W 0.000 0.000 0.493
4 Zr 0.500 0.500 0.752


Record 8
The following is a DFT calculation (GGA-PBE) of a relaxed Mn2Pt4Au crystal.

Values from the calculation:
Formation energy from the elements   -1.18 kcal/mol of atoms
Symmetry   No. 64

a b c (Å): 9.403 5.392 5.425
angles (deg): 119.80 90.00 90.00
Site moments in Bohr magnetons follow the coordinates.
Fractional positions:
1 Pt 0.719 0.106 0.000  0.20
2 Pt 0.750 0.586 0.500  0.19
3 Pt 0.281 0.894 0.000  0.20
4 Pt 0.250 0.414 0.500  0.19
5 Pt 0.750 0.086 0.500  0.19
6 Pt 0.250 0.914 0.500  0.19
7 Pt 0.219 0.394 0.000  0.20
8 Pt 0.781 0.606 0.000  0.20
9 Mn 0.000 0.663 0.326  4.03
10 Mn 0.000 0.337 0.674  4.03
11 Mn 0.500 0.837 0.674  4.03
12 Mn 0.500 0.163 0.326  4.03
13 Au 0.000 0.000 0.000  0.07
14 Au 0.500 0.500 0.000  0.07


Record 9
The following is a DFT calculation (GGA-PBE) of a relaxed PrDyNiIr crystal.

Values from the calculation:
Energy above the most stable polymorph in this dataset   6.69 kJ per mole of atoms
Formation energy from the elements   -11.37 kcal/mol of atoms
Symmetry   No. 216

a b c (Å): 4.926 4.926 4.926
angles (deg): 60.00 60.00 60.00
Fractional positions:
1 Pr 0.500 0.500 0.500
2 Dy 0.000 0.000 0.000
3 Ni 0.250 0.250 0.250
4 Ir 0.750 0.750 0.750


Record 10
The following is a DFT calculation (GGA-PBE) of a relaxed Cr3Sb12Pd5 crystal.

Values from the calculation:
ΔE_f (raw)   -0.341 eV per formula unit
Symmetry   No. 230

a b c (Å): 13.737 13.737 13.737
angles (deg): 109.47 109.47 109.47
Site moments in Bohr magnetons follow the coordinates.
Fractional positions:
1 Sb 0.074 0.903 0.132  -0.05
2 Sb 0.632 0.058 0.229  -0.05
3 Sb 0.632 0.574 0.903  -0.05
4 Sb 0.132 0.729 0.558  -0.05
5 Sb 0.942 0.368 0.271  -0.05
6 Sb 0.097 0.926 0.368  -0.05
7 Sb 0.829 0.926 0.058  -0.05
8 Sb 0.442 0.671 0.074  -0.05
9 Sb 0.058 0.632 0.729  -0.05
10 Sb 0.926 0.097 0.868  -0.05
11 Sb 0.403 0.132 0.574  -0.05
12 Sb 0.403 0.271 0.329  -0.05
13 Sb 0.329 0.558 0.426  -0.05
14 Sb 0.597 0.868 0.426  -0.05
15 Sb 0.771 0.442 0.368  -0.05
16 Sb 0.558 0.329 0.926  -0.05
17 Sb 0.868 0.271 0.442  -0.05
18 Sb 0.671 0.229 0.597  -0.05
19 Sb 0.729 0.132 0.058  -0.05
20 Sb 0.868 0.597 0.926  -0.05
21 Sb 0.574 0.942 0.671  -0.05
22 Sb 0.729 0.597 0.171  -0.05
23 Sb 0.426 0.058 0.329  -0.05
24 Sb 0.942 0.574 0.171  -0.05
25 Sb 0.574 0.632 0.403  -0.05
26 Sb 0.271 0.403 0.829  -0.05
27 Sb 0.426 0.368 0.597  -0.05
28 Sb 0.903 0.074 0.632  -0.05
29 Sb 0.368 0.426 0.097  -0.05
30 Sb 0.926 0.829 0.558  -0.05
31 Sb 0.074 0.171 0.442  -0.05
32 Sb 0.229 0.558 0.632  -0.05
33 Sb 0.058 0.426 0.829  -0.05
34 Sb 0.097 0.171 0.229  -0.05
35 Sb 0.771 0.329 0.903  -0.05
36 Sb 0.829 0.903 0.271  -0.05
37 Sb 0.271 0.868 0.942  -0.05
38 Sb 0.903 0.829 0.771  -0.05
39 Sb 0.132 0.403 0.074  -0.05
40 Sb 0.558 0.229 0.132  -0.05
41 Sb 0.171 0.074 0.942  -0.05
42 Sb 0.671 0.442 0.574  -0.05
43 Sb 0.597 0.729 0.671  -0.05
44 Sb 0.368 0.942 0.771  -0.05
45 Sb 0.229 0.671 0.097  -0.05
46 Sb 0.329 0.771 0.403  -0.05
47 Sb 0.442 0.771 0.868  -0.05
48 Sb 0.171 0.097 0.729  -0.05
49 Pd 0.750 0.125 0.875  0.03
50 Pd 0.875 0.625 0.750  0.03
51 Pd 0.500 0.500 0.000  -0.02
52 Pd 0.875 0.250 0.625  0.03
53 Pd 0.625 0.875 0.250  0.03
54 Pd 0.625 0.750 0.875  0.03
55 Pd 0.250 0.875 0.125  0.03
56 Pd 0.125 0.375 0.250  0.03
57 Pd 0.500 0.500 0.500  -0.02
58 Pd 0.375 0.250 0.125  0.03
59 Pd 0.000 0.500 0.000  -0.02
60 Pd 0.250 0.375 0.625  0.03
61 Pd 0.000 0.500 0.500  -0.02
62 Pd 0.500 0.000 0.000  -0.02
63 Pd 0.750 0.625 0.375  0.03
64 Pd 0.000 0.000 0.500  -0.02
65 Pd 0.125 0.750 0.375  0.03
66 Pd 0.375 0.125 0.750  0.03
67 Pd 0.000 0.000 0.000  -0.02
68 Pd 0.500 0.000 0.500  -0.02
69 Cr 0.625 0.250 0.375  2.94
70 Cr 0.375 0.625 0.250  2.94
71 Cr 0.250 0.625 0.875  2.94
72 Cr 0.125 0.250 0.875  2.94
73 Cr 0.750 0.375 0.125  2.94
74 Cr 0.250 0.125 0.375  2.94
75 Cr 0.875 0.750 0.125  2.94
76 Cr 0.625 0.375 0.750  2.94
77 Cr 0.375 0.750 0.625  2.94
78 Cr 0.750 0.875 0.625  2.94
79 Cr 0.875 0.125 0.250  2.94
80 Cr 0.125 0.875 0.750  2.94


Record 11
The following is a DFT calculation (GGA-PBE) of a relaxed TbPm2TmS4 crystal.

Values from the calculation:
ΔE_f (raw)   -16.039 eV per formula unit
Symmetry   No. 10

a b c (Å): 3.906 6.818 6.968
angles (deg): 108.79 90.00 90.00
Fractional positions:
1 Tm 0.000 0.000 0.000
2 S 0.000 0.749 0.237
3 S 0.500 0.760 0.766
4 S 0.000 0.251 0.763
5 S 0.500 0.240 0.234
6 Tb 0.500 0.500 0.000
7 Pm 0.000 0.500 0.500
8 Pm 0.500 0.000 0.500


What is the formula in the ninth record?
PrDyNiIr


Which formula does entry 10 have?
Cr3Sb12Pd5